Record 1
VASP calculation (PBE) on a relaxed structure of AcPaAg2.

Output
The space-group type is R-3m (166). For the calculated density, the calculation gives 10.2 g/cm3. The energy relative to the lowest polymorph listed for this composition is 439 meV/atom. Its energy relative to the elements is 584.3 meV/atom.

abc: 3.2944 3.2944 34.9841
angles: 90.00 90.00 120.00
Fractional coordinates of all 12 atoms:
Ac1 0.0000 0.0000 0.0000
Ac2 0.3333 0.6667 0.6667
Ac3 0.6667 0.3333 0.3333
Pa1 0.0000 0.0000 0.5000
Pa2 0.3333 0.6667 0.1667
Pa3 0.6667 0.3333 0.8333
Ag1 0.0000 0.0000 0.4136
Ag2 0.0000 0.0000 0.5864
Ag3 0.3333 0.6667 0.0803
Ag4 0.3333 0.6667 0.2531
Ag5 0.6667 0.3333 0.7469
Ag6 0.6667 0.3333 0.9197

***

Record 2
VASP calculation (PBE) on a relaxed structure of AcPaAg2.

Output
The space-group type is P4/mmm (123). For the calculated density, the calculation gives 10.3 g/cm3. The energy relative to the lowest polymorph listed for this composition is 0 meV/atom. Its energy relative to the elements is 145.3 meV/atom.

abc: 3.6541 3.6541 8.1253
angles: 90.00 90.00 90.00
Fractional coordinates of all 4 atoms:
Ac1 0.0000 0.0000 0.0000
Pa1 0.0000 0.0000 0.5000
Ag1 0.5000 0.5000 0.2713
Ag2 0.5000 0.5000 0.7287

***

Record 3
VASP calculation (PBE) on a relaxed structure of AcPaAgSn.

Output
The space-group type is F-43m (216). For the calculated density, the calculation gives 9.7 g/cm3. Its energy relative to the elements is -4.2 meV/atom.

abc: 7.7703 7.7703 7.7703
angles: 90.00 90.00 90.00
Fractional coordinates of all 16 atoms:
Ac1 0.0000 0.0000 0.0000
Ac2 0.0000 0.5000 0.5000
Ac3 0.5000 0.0000 0.5000
Ac4 0.5000 0.5000 0.0000
Pa1 0.0000 0.0000 0.5000
Pa2 0.0000 0.5000 0.0000
Pa3 0.5000 0.0000 0.0000
Pa4 0.5000 0.5000 0.5000
Ag1 0.2500 0.2500 0.7500
Ag2 0.2500 0.7500 0.2500
Ag3 0.7500 0.2500 0.2500
Ag4 0.7500 0.7500 0.7500
Sn1 0.2500 0.2500 0.2500
Sn2 0.2500 0.7500 0.7500
Sn3 0.7500 0.2500 0.7500
Sn4 0.7500 0.7500 0.2500

***

Record 4
VASP calculation (PBE) on a relaxed structure of AcAgPb.

Output
The space-group type is P6_3/mmc (194). For the calculated density, the calculation gives 9.8 g/cm3. The energy relative to the lowest polymorph listed for this composition is 0 meV/atom. Its energy relative to the elements is -447.9 meV/atom.

abc: 4.9813 4.9813 8.5267
angles: 90.00 90.00 120.00
Fractional coordinates of all 6 atoms:
Ac1 0.0000 0.0000 0.0000
Ac2 0.0000 0.0000 0.5000
Ag1 0.3333 0.6667 0.2500
Ag2 0.6667 0.3333 0.7500
Pb1 0.3333 0.6667 0.7500
Pb2 0.6667 0.3333 0.2500